Record 1
Entry from the Alexandria database: an optimized crystal structure of ReHgBr (PBE).

- Energy above the lowest structure with this stoichiometry: 657.0 meV per atom
- Magnetization: 1.062 μB per atom
- DOS(E_F): 3.86 states/eV per cell
- SG: F-43m (216)

POSCAR file:
```
ReHgBr
1.0
4.686 0.000 0.000
2.343 4.058 0.000
2.343 1.353 3.826
Re Hg Br
1 1 1
direct
0.750 0.750 0.750
0.500 0.500 0.500
0.000 0.000 0.000
```


Record 2
Entry from the Alexandria database: an optimized crystal structure of ReHg2Br (PBE).

- Energy above the lowest structure with this stoichiometry: 0.0 meV per atom
- Magnetization: 0.000 μB per atom
- DOS(E_F): 1.23 states/eV per cell
- SG: Imm2 (44)

POSCAR file:
```
ReHg2Br
1.0
7.431 0.028 -0.049
6.824 2.942 -0.049
1.625 0.339 4.582
Re Hg Br
1 2 1
direct
0.487 0.487 0.513
0.010 0.010 0.990
0.166 0.166 0.335
0.838 0.838 0.662
```


Record 3
Entry from the Alexandria database: an optimized crystal structure of ReHg2Br (PBE).

- Energy above the lowest structure with this stoichiometry: 696.3 meV per atom
- Magnetization: 0.692 μB per atom
- DOS(E_F): 3.21 states/eV per cell
- SG: F-43m (216)

POSCAR file:
```
ReHg2Br
1.0
4.953 0.000 0.000
2.477 4.290 0.000
2.477 1.430 4.044
Re Hg Br
1 2 1
direct
0.750 0.750 0.750
0.000 0.000 0.000
0.250 0.250 0.250
0.500 0.500 0.500
```


Record 4
Entry from the Alexandria database: an optimized crystal structure of Re2HgBr (PBE).

- Energy above the lowest structure with this stoichiometry: 461.2 meV per atom
- Magnetization: 0.139 μB per atom
- DOS(E_F): 5.38 states/eV per cell
- SG: R-3m (166)

POSCAR file:
```
Re2HgBr
1.0
-6.035 -5.276 -4.418
-3.586 -5.970 -5.939
-4.208 -7.380 -3.406
Re Hg Br
2 1 1
direct
0.996 0.996 0.996
0.504 0.504 0.504
0.750 0.750 0.750
0.250 0.250 0.250
```


Record 5
Entry from the Alexandria database: an optimized crystal structure of Re2HgBr (PBE).

- Energy above the lowest structure with this stoichiometry: 827.1 meV per atom
- Magnetization: 0.000 μB per atom
- DOS(E_F): 4.80 states/eV per cell
- SG: P4/mmm (123)

POSCAR file:
```
Re2HgBr
1.0
-2.843 -1.397 -0.002
0.893 -1.822 2.433
-2.282 4.639 4.313
Re Hg Br
2 1 1
direct
0.000 0.000 0.028
0.000 0.000 0.472
0.500 0.500 0.750
0.500 0.500 0.250
```


Record 6
Entry from the Alexandria database: an optimized crystal structure of Re2HgBr (PBE).

- Energy above the lowest structure with this stoichiometry: 594.7 meV per atom
- Magnetization: 0.000 μB per atom
- DOS(E_F): 4.04 states/eV per cell
- SG: Pmmm (47)

POSCAR file:
```
Re2HgBr
1.0
-2.194 -1.486 -1.123
1.626 -4.179 2.353
-2.785 1.135 3.940
Re Hg Br
2 1 1
direct
0.000 0.000 0.000
0.500 0.500 0.000
0.000 0.500 0.500
0.500 0.000 0.500
```


Please write out number 3 again, unchanged.
Entry from the Alexandria database: an optimized crystal structure of ReHg2Br (PBE).

- Energy above the lowest structure with this stoichiometry: 696.3 meV per atom
- Magnetization: 0.692 μB per atom
- DOS(E_F): 3.21 states/eV per cell
- SG: F-43m (216)

POSCAR file:
```
ReHg2Br
1.0
4.953 0.000 0.000
2.477 4.290 0.000
2.477 1.430 4.044
Re Hg Br
1 2 1
direct
0.750 0.750 0.750
0.000 0.000 0.000
0.250 0.250 0.250
0.500 0.500 0.500
```


- Number 4 is which compound?
  Re2HgBr


- What is the magnetization in the fifth record?
  0.000 μB per atom